Record 1
# NdSmZn4

An optimized crystal structure of NdSmZn4 (PBE, OQMD via LeMat-Bulk).

The structure in POSCAR format:
```
NdSmZn4
1.0
2.5055 -3.3938 3.9089
-5.2154 -2.4204 0.1267
4.1279 0.2408 -3.9971
Nd Sm Zn
1 1 4
direct
0.4664 0.4664 0.0000
0.0331 0.5331 0.5000
0.0340 0.8344 0.1995
0.4644 0.1658 0.2986
0.8672 0.1658 0.7014
0.6349 0.8344 0.8005
```

Calculated values
space-group type: Imm2, No. 44
spin magnetization: 0.007 Bohr magnetons per cell
energy relative to the elements: -372 meV per atom
E_tot: -16.77 eV per cell

Record 2
# LiZrGaPd

An optimized crystal structure of LiZrGaPd (PBE, OQMD via LeMat-Bulk).

The structure in POSCAR format:
```
LiZrGaPd
1.0
-3.9662 0.6090 1.9966
-2.6880 3.3326 -1.3254
-3.7876 -0.9209 -2.2124
Ga Li Pd Zr
1 1 1 1
direct
0.5000 0.5000 0.5000
0.7500 0.7500 0.7500
0.2500 0.2500 0.2500
0.0000 0.0000 0.0000
```

Calculated values
E above lowest polymorph: 0.000 eV per atom
space-group type: F-43m, No. 216
spin magnetization: 0.000 Bohr magnetons per cell
E_tot: -21.18 eV per cell

Record 3
# La5Al3Pd2

An optimized crystal structure of La5Al3Pd2 (PBE, OQMD via LeMat-Bulk).

The structure in POSCAR format:
```
La5Al3Pd2
1.0
7.2043 -3.5454 0.0000
7.2043 3.5454 0.0000
0.0000 0.0000 10.4998
Al La Pd
6 10 4
direct
0.1511 0.1511 0.0000
0.8489 0.8489 0.0000
0.5947 0.4053 0.2500
0.1511 0.1511 0.5000
0.8489 0.8489 0.5000
0.4053 0.5947 0.7500
0.3690 0.3690 0.0000
0.6310 0.6310 0.0000
0.5381 0.0291 0.2500
0.9709 0.4619 0.2500
0.1218 0.8782 0.2500
0.3690 0.3690 0.5000
0.6310 0.6310 0.5000
0.8782 0.1218 0.7500
0.0291 0.5381 0.7500
0.4619 0.9709 0.7500
0.8198 0.1802 0.0634
0.8198 0.1802 0.4366
0.1802 0.8198 0.5634
0.1802 0.8198 0.9366
```

Calculated values
space-group type: Cmcm, No. 63
spin magnetization: 0.020 Bohr magnetons per cell
E_tot: -103.44 eV per cell

Record 4
# PuUN

An optimized crystal structure of PuUN (PBE, OQMD via LeMat-Bulk).

The structure in POSCAR format:
```
PuUN
1.0
-3.2021 0.7021 -0.8608
2.1233 -1.3098 -2.2942
-1.2117 -4.0593 1.1962
N Pu U
1 1 1
direct
0.0000 0.0000 0.9974
0.3333 0.6667 0.6697
0.6667 0.3333 0.3328
```

Calculated values
space-group type: P3m1, No. 156
spin magnetization: 0.009 Bohr magnetons per cell
E_tot: -36.53 eV per cell

Record 5
# Pu3Ni

An optimized crystal structure of Pu3Ni (PBE, OQMD via LeMat-Bulk).

The structure in POSCAR format:
```
Pu3Ni
1.0
6.3576 0.0000 0.0000
-3.1788 5.5058 0.0000
0.0000 0.0000 4.9070
Ni Pu
2 6
direct
0.6667 0.3333 0.2500
0.3333 0.6667 0.7500
0.1769 0.3539 0.2500
0.1769 0.8231 0.2500
0.6461 0.8231 0.2500
0.3539 0.1769 0.7500
0.8231 0.1769 0.7500
0.8231 0.6461 0.7500
```

Calculated values
E above lowest polymorph: 0.000 eV per atom
space-group type: P6_3/mmc, No. 194
spin magnetization: 34.001 Bohr magnetons per cell
energy relative to the elements: 40 meV per atom
E_tot: -95.58 eV per cell

Record 6
# KEr

An optimized crystal structure of KEr (PBE, OQMD via LeMat-Bulk).

The structure in POSCAR format:
```
KEr
1.0
-2.5318 -1.1691 2.3083
2.7137 -2.1903 -0.9716
3.8964 2.3939 5.4861
Er K
1 1
direct
0.6666 0.3333 0.7500
0.3334 0.6667 0.2500
```

Calculated values
space-group type: P-6m2, No. 187
spin magnetization: 0.007 Bohr magnetons per cell
E_tot: -4.59 eV per cell